Record 1
The following is a PBE calculation of KAl2CdPt after structural relaxation, from Alexandria.

Cell: 5.6114 5.6114 5.5178 Å, 90.00 90.00 90.00°
Fractional coordinates of all 5 atoms:
K1 0.0000 0.0000 0.0000
Al1 0.0000 0.5000 0.0000
Al2 0.5000 0.0000 0.0000
Cd1 0.0000 0.0000 0.5000
Pt1 0.5000 0.5000 0.5000

Properties
As for the energy relative to the elements: 1.706 eV per atom. For the uncorrected energy, the calculation gives -7.011 eV per formula unit.

Record 2
The following is a PBE calculation of K2RbAlCd after structural relaxation, from Alexandria.

Cell: 6.8857 6.8857 5.1517 Å, 90.00 90.00 90.00°
Fractional coordinates of all 5 atoms:
K1 0.0000 0.5000 0.0000
K2 0.5000 0.0000 0.0000
Rb1 0.0000 0.0000 0.5000
Al1 0.5000 0.5000 0.5000
Cd1 0.5000 0.5000 0.0000

Properties
As for the energy relative to the elements: 0.172 eV per atom. For the uncorrected energy, the calculation gives -6.961 eV per formula unit.

Record 3
The following is a PBE calculation of KAlCd2Re after structural relaxation, from Alexandria.

Cell: 5.3708 5.3708 4.8615 Å, 90.00 90.00 90.00°
Fractional coordinates of all 5 atoms:
K1 0.0000 0.0000 0.0000
Al1 0.5000 0.5000 0.0000
Cd1 0.0000 0.5000 0.5000
Cd2 0.5000 0.0000 0.5000
Re1 0.5000 0.5000 0.5000

Properties
As for the energy relative to the elements: 0.453 eV per atom. For the uncorrected energy, the calculation gives -16.853 eV per formula unit.

Record 4
The following is a PBE calculation of KAlCdSb2 after structural relaxation, from Alexandria.

Cell: 5.9839 5.9839 5.9156 Å, 90.00 90.00 90.00°
Fractional coordinates of all 5 atoms:
K1 0.0000 0.0000 0.0000
Al1 0.5000 0.5000 0.5000
Cd1 0.0000 0.0000 0.5000
Sb1 0.0000 0.5000 0.0000
Sb2 0.5000 0.0000 0.0000

Properties
The value obtained for the raw formation energy is 1.136 eV/atom. For the uncorrected energy, the calculation gives -8.321 eV per formula unit.

Record 5
The following is a PBE calculation of KAlTl2Cd after structural relaxation, from Alexandria.

Cell: 5.6655 5.6655 5.2949 Å, 90.00 90.00 90.00°
Fractional coordinates of all 5 atoms:
K1 0.0000 0.0000 0.0000
Al1 0.5000 0.5000 0.5000
Tl1 0.0000 0.5000 0.5000
Tl2 0.5000 0.0000 0.5000
Cd1 0.5000 0.5000 0.0000

Properties
As for the energy relative to the elements: 0.107 eV per atom. For the uncorrected energy, the calculation gives -9.951 eV per formula unit.

Record 6
The following is a PBE calculation of KAlV2Cd after structural relaxation, from Alexandria.

Cell: 5.1430 5.1430 5.1874 Å, 90.00 90.00 90.00°
Fractional coordinates of all 5 atoms:
K1 0.0000 0.0000 0.0000
Al1 0.5000 0.5000 0.5000
V1 0.0000 0.5000 0.5000
V2 0.5000 0.0000 0.5000
Cd1 0.5000 0.5000 0.0000

Properties
As for the energy relative to the elements: 0.995 eV per atom. For the uncorrected energy, the calculation gives -19.020 eV per formula unit.

Record 7
The following is a PBE calculation of KAlCd2W after structural relaxation, from Alexandria.

Cell: 5.4432 5.4432 5.0132 Å, 90.00 90.00 90.00°
Fractional coordinates of all 5 atoms:
K1 0.0000 0.0000 0.0000
Al1 0.5000 0.5000 0.0000
Cd1 0.0000 0.5000 0.5000
Cd2 0.5000 0.0000 0.5000
W1 0.5000 0.5000 0.5000

Properties
As for the energy relative to the elements: 0.688 eV per atom. For the uncorrected energy, the calculation gives -16.185 eV per formula unit.

Record 8
The following is a PBE calculation of K2YAlCd after structural relaxation, from Alexandria.

Cell: 6.4708 6.4708 5.0551 Å, 90.00 90.00 90.00°
Fractional coordinates of all 5 atoms:
K1 0.0000 0.5000 0.0000
K2 0.5000 0.0000 0.0000
Y1 0.0000 0.0000 0.5000
Al1 0.5000 0.5000 0.0000
Cd1 0.5000 0.5000 0.5000

Properties
As for the energy relative to the elements: 0.673 eV per atom. For the uncorrected energy, the calculation gives -9.953 eV per formula unit.